1.
{"formula": "CoAgS2", "functional": "PBE", "state": "optimized geometry", "lattice": [[3.367, 0.000, 0.000], [-1.683, 2.916, 0.000], [0.000, 0.000, 14.185]], "species": ["Co", "Co", "Ag", "Ag", "S", "S", "S", "S"], "fractional_positions": [[0.000, 0.000, 0.000], [0.000, 0.000, 0.500], [0.333, 0.667, 0.250], [0.667, 0.333, 0.750], [0.333, 0.667, 0.080], [0.333, 0.667, 0.420], [0.667, 0.333, 0.580], [0.667, 0.333, 0.920]], "magmom_total_mub_per_cell": 0.0, "space_group": "P6_3/mmc, No. 194", "formation_energy_uncorrected_mev_per_atom": -291}


2.
{"formula": "CoAgS2", "functional": "PBE", "state": "optimized geometry", "lattice": [[0.000, 3.090, 3.090], [3.090, 0.000, 3.090], [3.090, 3.090, 0.000]], "species": ["Co", "Ag", "S", "S"], "fractional_positions": [[0.000, 0.000, 0.000], [0.500, 0.500, 0.500], [0.250, 0.250, 0.250], [0.750, 0.750, 0.750]], "magmom_total_mub_per_cell": 0.3, "space_group": "Fm-3m, No. 225", "formation_energy_uncorrected_mev_per_atom": 439}